## P
Nb2Ga2Mo | GGA-PBE | optimized geometry

The structure belongs to space group P4/mbm (No. 127); the cell edges are 7.116, 7.116 and 3.469 Å and the angles 90.00°, 90.00° and 90.00°. Symmetry generates all atoms from Nb at (0.142, 0.358, 0.000), Ga at (0.161, 0.661, 0.500) and Mo at (0.000, 0.000, 0.000).

The crystal system is tetragonal.

---

## Q
Nb2Ga2Mo | GGA-PBE | optimized geometry

The structure belongs to space group I4/mmm (No. 139); the cell edges are 3.440, 3.440 and 14.993 Å and the angles 90.00°, 90.00° and 90.00°. Symmetry generates all atoms from Nb at (0.000, 0.000, 0.097), Ga at (0.000, 0.500, 0.250) and Mo at (0.000, 0.000, 0.500).

The crystal system is tetragonal.

---

## R
Nb2Ga2Mo | GGA-PBE | optimized geometry

The structure belongs to space group Cmc2_1 (No. 36); the cell edges are 3.535, 16.905 and 5.630 Å and the angles 90.00°, 90.00° and 90.00°. Symmetry generates all atoms from Nb at (0.000, 0.002, 0.000), Nb at (0.000, 0.206, 0.514), Ga at (0.000, 0.176, 0.007), Ga at (0.000, 0.399, 0.763) and Mo at (0.000, 0.399, 0.248).

The crystal system is orthorhombic.

---

## S
Nb2Ga2Mo | GGA-PBE | optimized geometry

The structure belongs to space group P4/mbm (No. 127); the cell edges are 6.807, 6.807 and 3.552 Å and the angles 90.00°, 90.00° and 90.00°. Symmetry generates all atoms from Nb at (0.174, 0.326, 0.000), Ga at (0.129, 0.629, 0.500) and Mo at (0.000, 0.000, 0.500).

The crystal system is tetragonal.

---

The winner here is S, beating the second structure by 156 meV/atom.

---

## P
Nb2GaMo2 | GGA-PBE | optimized geometry

The structure belongs to space group I4/mmm (No. 139); the cell edges are 3.639, 3.639 and 13.891 Å and the angles 90.00°, 90.00° and 90.00°. Symmetry generates all atoms from Nb at (0.000, 0.000, 0.091), Ga at (0.000, 0.000, 0.500) and Mo at (0.000, 0.500, 0.250).

The crystal system is tetragonal.

---

## Q
Nb2GaMo2 | GGA-PBE | optimized geometry

The structure belongs to space group P4/mbm (No. 127); the cell edges are 7.460, 7.460 and 3.251 Å and the angles 90.00°, 90.00° and 90.00°. Symmetry generates all atoms from Nb at (0.147, 0.353, 0.000), Ga at (0.000, 0.000, 0.000) and Mo at (0.155, 0.655, 0.500).

The crystal system is tetragonal.

---

The winner here is Q, beating the second structure by 88 meV/atom.

---

## P
NbGa3Mo | GGA-PBE | optimized geometry

The structure belongs to space group Pm-3m (No. 221); the cell edges are 4.730, 4.730 and 4.730 Å and the angles 90.00°, 90.00° and 90.00°. Symmetry generates all atoms from Nb at (0.000, 0.000, 0.000), Ga at (0.000, 0.500, 0.500) and Mo at (0.500, 0.500, 0.500).

The crystal system is cubic.

---

## Q
NbGa3Mo | GGA-PBE | optimized geometry

The structure belongs to space group Pnma (No. 62); the cell edges are 9.388, 7.240 and 4.921 Å and the angles 90.00°, 90.00° and 90.00°. Symmetry generates all atoms from Nb at (0.037, 0.250, 0.052), Ga at (0.177, 0.750, 0.335), Ga at (0.217, 0.570, 0.843) and Mo at (0.000, 0.000, 0.500).

The crystal system is orthorhombic.

---

The winner here is Q, beating the second structure by 810 meV/atom.

---

## P
Ga3NiMo | GGA-PBE | optimized geometry

The structure belongs to space group Pm-3m (No. 221); the cell edges are 4.455, 4.455 and 4.455 Å and the angles 90.00°, 90.00° and 90.00°. Symmetry generates all atoms from Ga at (0.000, 0.000, 0.500), Ni at (0.000, 0.000, 0.000) and Mo at (0.500, 0.500, 0.500).

The crystal system is cubic.

---

## Q
Ga3NiMo | GGA-PBE | optimized geometry

The structure belongs to space group Pm-3m (No. 221); the cell edges are 4.835, 4.835 and 4.835 Å and the angles 90.00°, 90.00° and 90.00°. Symmetry generates all atoms from Ga at (0.000, 0.000, 0.500), Ni at (0.500, 0.500, 0.500) and Mo at (0.000, 0.000, 0.000).

The crystal system is cubic.

---

The winner here is P, beating the second structure by 373 meV/atom.